Entry 1:
The following is a GGA-PBE calculation of a relaxed GaCuSe2O8 crystal, from Alexandria.

Computed properties:
- D(E_F) (states/eV per atom) = 0.31
- formation energy without anion corrections (eV/atom) = -0.577
- SG = I-4m2 (119)

Lattice parameters (Å, degrees): 5.688 5.688 5.688 107.22 107.22 114.07
Fractional positions:
Ga 0.000 0.000 0.000
Cu 0.750 0.250 0.500
Se 0.250 0.750 0.500
Se 0.500 0.500 0.000
O 0.074 0.381 0.307
O 0.074 0.767 0.693
O 0.124 0.312 0.812
O 0.233 0.926 0.307
O 0.500 0.312 0.188
O 0.619 0.926 0.693
O 0.688 0.500 0.812
O 0.688 0.876 0.188

Entry 2:
The following is a GGA-PBE calculation of a relaxed Sr2GaCuO5 crystal, from Alexandria.

Computed properties:
- D(E_F) (states/eV per atom) = 0.07
- formation energy without anion corrections (eV/atom) = -1.857
- SG = Cmc2_1 (36)

Lattice parameters (Å, degrees): 7.105 7.105 10.690 90.00 90.00 151.55
Fractional positions:
Sr 0.105 0.895 0.500
Sr 0.143 0.857 0.154
Sr 0.857 0.143 0.654
Sr 0.895 0.105 0.000
Ga 0.422 0.578 0.250
Ga 0.578 0.422 0.750
Cu 0.215 0.785 0.866
Cu 0.785 0.215 0.366
O 0.073 0.927 0.839
O 0.292 0.708 0.424
O 0.317 0.683 0.142
O 0.346 0.654 0.834
O 0.483 0.517 0.626
O 0.517 0.483 0.126
O 0.654 0.346 0.334
O 0.683 0.317 0.642
O 0.708 0.292 0.924
O 0.927 0.073 0.339

Entry 3:
The following is a GGA-PBE calculation of a relaxed Sr2TbGaCu2O7 crystal, from Alexandria.

Computed properties:
- D(E_F) (states/eV per atom) = 0.16
- formation energy without anion corrections (eV/atom) = -2.119
- SG = Ima2 (46)

Lattice parameters (Å, degrees): 12.253 12.253 12.253 36.81 153.93 154.46
Fractional positions:
Sr 0.018 0.152 0.169
Sr 0.018 0.348 0.366
Sr 0.982 0.652 0.634
Sr 0.982 0.848 0.831
Tb 0.997 0.497 0.500
Tb 0.997 0.997 0.000
Ga 0.467 0.787 0.180
Ga 0.606 0.287 0.820
Cu 0.495 0.568 0.071
Cu 0.495 0.925 0.427
Cu 0.497 0.068 0.573
Cu 0.497 0.425 0.929
O 0.005 0.639 0.866
O 0.426 0.147 0.632
O 0.426 0.294 0.779
O 0.491 0.180 0.183
O 0.491 0.807 0.811
O 0.503 0.312 0.316
O 0.503 0.688 0.692
O 0.515 0.647 0.221
O 0.515 0.794 0.368
O 0.774 0.139 0.134
O 0.996 0.188 0.684
O 0.996 0.307 0.817
O 0.996 0.680 0.189
O 0.996 0.812 0.308